Record 1
# NdSm2OsC2 | Alexandria via LeMat-Bulk | GGA-PBE | relaxed
data_NdSm2OsC2
_chemical_formula_sum 'Nd2 Sm4 Os2 C4'
_cell_length_a 5.732
_cell_length_b 11.279
_cell_length_c 3.880
_cell_angle_alpha 90.00
_cell_angle_beta 90.00
_cell_angle_gamma 90.00
_symmetry_space_group_name_H-M 'P n n m'
_symmetry_Int_Tables_number 58
_symmetry_space_group_name_Hall '-P 2 2n'
loop_
_atom_site_label
_atom_site_fract_x
_atom_site_fract_y
_atom_site_fract_z
Nd1 0.000 0.000 0.000
Sm1 0.034 0.295 0.500
Os1 0.000 0.500 0.000
C1 0.244 0.883 0.500
# Spin magnetization (μB per formula unit): 0.000
# Volume (Å³/cell): 251
# Formation energy from the elements (eV per atom): -0.097
# D(E_F) (states/eV per atom): 0.67
# E (eV per atom): -7.411

***

Record 2
# NdMgGa2Rh2 | Alexandria via LeMat-Bulk | GGA-PBE | relaxed
data_NdMgGa2Rh2
_chemical_formula_sum 'Nd1 Mg1 Ga2 Rh2'
_cell_length_a 4.3486
_cell_length_b 4.3486
_cell_length_c 6.8484
_cell_angle_alpha 90.00
_cell_angle_beta 90.00
_cell_angle_gamma 120.00
_symmetry_space_group_name_H-M 'P -3 m 1'
_symmetry_Int_Tables_number 164
_symmetry_space_group_name_Hall '-P 3 2"'
loop_
_atom_site_label
_atom_site_fract_x
_atom_site_fract_y
_atom_site_fract_z
Nd1 0.0000 0.0000 0.0000
Mg1 0.0000 0.0000 0.5000
Ga1 0.3333 0.6667 0.2790
Rh1 0.3333 0.6667 0.6575
# Spin magnetization (μB per formula unit): 0.000
# Volume (Å³/cell): 112
# Formation energy from the elements (eV per atom): -0.728
# D(E_F) (states/eV per atom): 0.22
# E (eV per atom): -5.248

***

Record 3
# Be2InAgN | Alexandria via LeMat-Bulk | GGA-PBE | relaxed
data_Be2InAgN
_chemical_formula_sum 'Be2 In1 Ag1 N1'
_cell_length_a 4.670
_cell_length_b 4.670
_cell_length_c 4.209
_cell_angle_alpha 90.00
_cell_angle_beta 90.00
_cell_angle_gamma 90.00
_symmetry_space_group_name_H-M 'P 4/m m m'
_symmetry_Int_Tables_number 123
_symmetry_space_group_name_Hall '-P 4 2'
loop_
_atom_site_label
_atom_site_fract_x
_atom_site_fract_y
_atom_site_fract_z
Be1 0.000 0.500 0.000
In1 0.000 0.000 0.000
Ag1 0.500 0.500 0.500
N1 0.000 0.000 0.500
# Spin magnetization (μB per formula unit): 0.631
# Volume (Å³/cell): 92
# D(E_F) (states/eV per atom): 0.51
# E (eV per atom): -2.649
# Energy relative to the elements, uncorrected (kJ/mol of formula units): 784

***

Record 4
# CaNd5Hg6 | Alexandria via LeMat-Bulk | GGA-PBE | relaxed
data_CaNd5Hg6
_chemical_formula_sum 'Ca2 Nd10 Hg12'
_cell_length_a 5.409
_cell_length_b 16.226
_cell_length_c 7.680
_cell_angle_alpha 90.00
_cell_angle_beta 90.00
_cell_angle_gamma 90.00
_symmetry_space_group_name_H-M 'C m m m'
_symmetry_Int_Tables_number 65
_symmetry_space_group_name_Hall '-C 2 2'
loop_
_atom_site_label
_atom_site_fract_x
_atom_site_fract_y
_atom_site_fract_z
Ca1 0.000 0.000 0.000
Nd1 0.000 0.000 0.500
Nd2 0.000 0.332 0.500
Nd3 0.000 0.336 0.000
Hg1 0.000 0.166 0.247
Hg2 0.000 0.500 0.250
# Spin magnetization (μB per formula unit): 1.378
# Volume (Å³/cell): 674
# Formation energy from the elements (eV per atom): -0.491
# D(E_F) (states/eV per atom): 1.02
# E (eV per atom): -2.795

***

> What is the D(E_F) in the second record?

0.22 states/eV per atom